First-principles (meta-GGA SCAN) data for a crystal of KCa2La relaxed with PBEsol, as listed in Alexandria via LeMat-Bulk.

Cell and atoms, written as POSCAR:
```
KCa2La
1.0
3.961 0.000 0.000
0.000 6.445 0.000
0.000 0.000 6.550
K Ca La
1 2 1
Cartesian
0.000 0.000 0.000
0.000 3.223 3.275
1.981 3.223 0.000
1.981 0.000 3.275
```

- calculated formation energy (kcal/mol of atoms) = 7.2
- energy above the lowest structure with this stoichiometry (meV per atom) = 0.0
- symmetry = No. 47
- E_tot (eV/atom) = -17.380